VASP calculation (PBE) on a relaxed structure of KAl2P.

Results
The calculation puts the formation energy at 0.067 eV per atom. Its density of states at the Fermi level is 0.0 states/eV/f.u. Its size of the total moment is 0.0000 μB/atom.

a b c (Å): 8.0230 8.0230 6.4070
angles (deg): 51.24 51.24 90.00
Last column: nearest neighbours and their distance in Å.
Element x y z (fractional)
K  0.0000  0.0000  0.0000  2 P 2.98, 4 Al 3.30
K  0.7500  0.2500  0.5000  2 P 2.98, 4 Al 3.30
P  0.5000  0.5000  0.0000  4 Al 2.54
P  0.2500  0.7500  0.5000  4 Al 2.54
Al  0.5449  0.1250  0.2500  2 P 2.54
Al  0.8750  0.7949  0.7500  2 P 2.54
Al  0.3750  0.4551  0.7500  2 P 2.54
Al  0.2051  0.6250  0.2500  2 P 2.54